No. 1
{"formula": "TmSc3S4", "functional": "PBE", "state": "optimized geometry", "n_ef_per_ev_cell": 5.3, "raw_formation_energy_mev_per_atom": -1867, "cell": [[5.286, 0.000, 0.000], [0.000, 5.286, 0.000], [0.000, 0.000, 5.286]], "species": ["Tm", "Sc", "Sc", "Sc", "S", "S", "S", "S"], "frac_coords": [[0.000, 0.000, 0.000], [0.000, 0.500, 0.500], [0.500, 0.000, 0.500], [0.500, 0.500, 0.000], [0.000, 0.000, 0.500], [0.000, 0.500, 0.000], [0.500, 0.000, 0.000], [0.500, 0.500, 0.500]]}

=====

No. 2
{"formula": "Tm3Sc5S8", "functional": "PBE", "state": "optimized geometry", "n_ef_per_ev_cell": 11.4, "raw_formation_energy_mev_per_atom": -1884, "cell": [[3.756, 2.168, 6.116], [-3.756, 2.168, 6.116], [0.000, -4.337, 6.116]], "species": ["Tm", "Tm", "Tm", "Sc", "Sc", "Sc", "Sc", "Sc", "S", "S", "S", "S", "S", "S", "S", "S"], "frac_coords": [[0.000, 0.500, 0.500], [0.500, 0.000, 0.500], [0.500, 0.500, 0.000], [0.000, 0.000, 0.000], [0.000, 0.000, 0.500], [0.000, 0.500, 0.000], [0.500, 0.000, 0.000], [0.500, 0.500, 0.500], [0.243, 0.750, 0.750], [0.246, 0.246, 0.246], [0.250, 0.250, 0.757], [0.250, 0.757, 0.250], [0.750, 0.243, 0.750], [0.750, 0.750, 0.243], [0.754, 0.754, 0.754], [0.757, 0.250, 0.250]]}

=====

No. 3
{"formula": "Tm3Sc5S12", "functional": "PBE", "state": "optimized geometry", "n_ef_per_ev_cell": 0.0, "raw_formation_energy_mev_per_atom": -1799, "cell": [[-7.720, 7.720, 7.720], [7.720, -7.720, 7.720], [7.720, 7.720, -7.720]], "species": ["Tm", "Tm", "Tm", "Tm", "Tm", "Tm", "Tm", "Tm", "Tm", "Tm", "Tm", "Tm", "Sc", "Sc", "Sc", "Sc", "Sc", "Sc", "Sc", "Sc", "Sc", "Sc", "Sc", "Sc", "Sc", "Sc", "Sc", "Sc", "Sc", "Sc", "Sc", "Sc", "S", "S", "S", "S", "S", "S", "S", "S", "S", "S", "S", "S", "S", "S", "S", "S", "S", "S", "S", "S", "S", "S", "S", "S", "S", "S", "S", "S", "S", "S", "S", "S", "S", "S", "S", "S", "S", "S", "S", "S", "S", "S", "S", "S", "S", "S", "S", "S"], "frac_coords": [[0.125, 0.250, 0.375], [0.125, 0.375, 0.750], [0.250, 0.375, 0.125], [0.250, 0.875, 0.625], [0.375, 0.125, 0.250], [0.375, 0.750, 0.125], [0.625, 0.250, 0.875], [0.625, 0.875, 0.750], [0.750, 0.125, 0.375], [0.750, 0.625, 0.875], [0.875, 0.625, 0.250], [0.875, 0.750, 0.625], [0.000, 0.000, 0.000], [0.000, 0.000, 0.500], [0.000, 0.500, 0.000], [0.000, 0.500, 0.500], [0.125, 0.750, 0.875], [0.125, 0.875, 0.250], [0.250, 0.125, 0.875], [0.250, 0.625, 0.375], [0.375, 0.250, 0.625], [0.375, 0.625, 0.750], [0.500, 0.000, 0.000], [0.500, 0.000, 0.500], [0.500, 0.500, 0.000], [0.500, 0.500, 0.500], [0.625, 0.375, 0.250], [0.625, 0.750, 0.375], [0.750, 0.375, 0.625], [0.750, 0.875, 0.125], [0.875, 0.125, 0.750], [0.875, 0.250, 0.125], [0.043, 0.219, 0.128], [0.043, 0.324, 0.915], [0.085, 0.628, 0.410], [0.085, 0.957, 0.676], [0.090, 0.719, 0.676], [0.090, 0.872, 0.415], [0.128, 0.043, 0.219], [0.128, 0.585, 0.910], [0.176, 0.219, 0.590], [0.176, 0.457, 0.585], [0.219, 0.128, 0.043], [0.219, 0.590, 0.176], [0.281, 0.324, 0.910], [0.281, 0.457, 0.372], [0.324, 0.910, 0.281], [0.324, 0.915, 0.043], [0.372, 0.281, 0.457], [0.372, 0.590, 0.915], [0.410, 0.085, 0.628], [0.410, 0.824, 0.781], [0.415, 0.090, 0.872], [0.415, 0.824, 0.543], [0.457, 0.372, 0.281], [0.457, 0.585, 0.176], [0.543, 0.415, 0.824], [0.543, 0.628, 0.719], [0.585, 0.176, 0.457], [0.585, 0.910, 0.128], [0.590, 0.176, 0.219], [0.590, 0.915, 0.372], [0.628, 0.410, 0.085], [0.628, 0.719, 0.543], [0.676, 0.085, 0.957], [0.676, 0.090, 0.719], [0.719, 0.543, 0.628], [0.719, 0.676, 0.090], [0.781, 0.410, 0.824], [0.781, 0.872, 0.957], [0.824, 0.543, 0.415], [0.824, 0.781, 0.410], [0.872, 0.415, 0.090], [0.872, 0.957, 0.781], [0.910, 0.128, 0.585], [0.910, 0.281, 0.324], [0.915, 0.043, 0.324], [0.915, 0.372, 0.590], [0.957, 0.676, 0.085], [0.957, 0.781, 0.872]]}

=====

No. 4
{"formula": "Tm6ScS8", "functional": "PBE", "state": "optimized geometry", "n_ef_per_ev_cell": 6.1, "raw_formation_energy_mev_per_atom": -2007, "cell": [[0.000, 5.404, 5.404], [5.404, 0.000, 5.404], [5.404, 5.404, 0.000]], "species": ["Tm", "Tm", "Tm", "Tm", "Tm", "Tm", "Sc", "S", "S", "S", "S", "S", "S", "S", "S"], "frac_coords": [[0.000, 0.000, 0.500], [0.000, 0.500, 0.000], [0.000, 0.500, 0.500], [0.500, 0.000, 0.000], [0.500, 0.000, 0.500], [0.500, 0.500, 0.000], [0.000, 0.000, 0.000], [0.246, 0.246, 0.754], [0.246, 0.754, 0.246], [0.246, 0.754, 0.754], [0.250, 0.250, 0.250], [0.750, 0.750, 0.750], [0.754, 0.246, 0.246], [0.754, 0.246, 0.754], [0.754, 0.754, 0.246]]}